DFT (PBE) results for crystalline Cd2CoIr at its relaxed geometry.

Fermi-level density of states	4.30	states/eV per cell
calculated total energy	-4.231	eV/atom
energy relative to the lowest polymorph listed for this composition	0.0855	eV/atom

a = 9.672 Å, b = 9.672 Å, c = 9.672 Å
α = 16.98°, β = 16.98°, γ = 16.98°
Each line ends with the local moment (μB).
Element x y z (fractional)
Ir: 0.760 0.760 0.760  0.53
Cd: 0.008 0.008 0.008  -0.01
Cd: 0.240 0.240 0.240  -0.02
Co: 0.493 0.493 0.493  1.72

---

DFT (PBE) results for crystalline Cd2CoIr at its relaxed geometry.

Fermi-level density of states	10.56	states/eV per cell
calculated total energy	-3.783	eV/atom
energy relative to the lowest polymorph listed for this composition	0.5329	eV/atom

a = 7.336 Å, b = 7.336 Å, c = 5.832 Å
α = 51.03°, β = 51.03°, γ = 90.00°
Each line ends with the local moment (μB).
Element x y z (fractional)
Cd: 0.375 0.388 0.750  -0.01
Co: 0.500 0.500 0.000  1.75
Cd: 0.138 0.625 0.250  -0.02
Cd: 0.612 0.125 0.250  -0.01
Cd: 0.875 0.862 0.750  -0.01
Ir: 0.750 0.250 0.500  0.28
Co: 0.250 0.750 0.500  1.75
Ir: 0.000 0.000 0.000  0.28

---

DFT (PBE) results for crystalline Cd2CoIr at its relaxed geometry.

Fermi-level density of states	3.93	states/eV per cell
calculated total energy	-4.122	eV/atom
energy relative to the lowest polymorph listed for this composition	0.1941	eV/atom

a = 2.808 Å, b = 2.808 Å, c = 9.666 Å
α = 90.00°, β = 90.00°, γ = 117.28°
Each line ends with the local moment (μB).
Element x y z (fractional)
Cd: 0.500 0.500 0.277  -0.02
Cd: 0.000 0.000 0.981  -0.01
Co: 0.000 0.000 0.517  1.81
Ir: 0.500 0.500 0.725  0.45

---

DFT (PBE) results for crystalline CdCoIr2 at its relaxed geometry.

Fermi-level density of states	7.17	states/eV per cell
calculated total energy	-6.092	eV/atom

a = 4.853 Å, b = 4.853 Å, c = 4.853 Å
α = 132.98°, β = 132.98°, γ = 68.69°
Each line ends with the local moment (μB).
Element x y z (fractional)
Ir: 0.500 0.500 0.000  0.39
Co: 0.750 0.250 0.500  1.72
Ir: 0.000 0.000 0.000  0.39
Cd: 0.250 0.750 0.500  -0.01

---

Question: Among the records above, which one has the lowest calculated total energy?
Answer: CdCoIr2

---

Question: calculated total energy of number 3 (Cd2CoIr)?
Answer: -4.122 eV/atom

---

Question: Number 4 is which compound?
Answer: CdCoIr2

---

Question: What is the calculated total energy in the second record?
Answer: -3.783 eV/atom